Entry 1:
ErScAl3Si2 after structural relaxation, computed with PBE.

abc: 5.3297 5.3297 6.4905
angles: 99.17 99.17 43.77
Element x y z (fractional)
Er (0.3817, 0.3817, 0.1766)
Al (0.0034, 0.0034, 0.5042)
Al (0.6948, 0.6948, 0.3699)
Al (0.3031, 0.3031, 0.6381)
Si (0.0950, 0.0950, 0.1327)
Si (0.9044, 0.9044, 0.8587)
Sc (0.6176, 0.6176, 0.8198)

Crystal system ... monoclinic
VASP energy ... -5.23 eV/atom
Spin magnetization ... 0.0 μB per formula unit



Entry 2:
Li4HgGe2Pd after structural relaxation, computed with PBE.

abc: 4.3872 4.3872 6.3556
angles: 90.00 90.00 90.00
Element x y z (fractional)
Li (0.0000, 0.0000, 0.5000)
Li (0.0000, 0.5000, 0.2667)
Li (0.5000, 0.0000, 0.7333)
Li (0.5000, 0.5000, 0.0000)
Pd (0.5000, 0.5000, 0.5000)
Ge (0.0000, 0.5000, 0.7227)
Ge (0.5000, 0.0000, 0.2773)
Hg (0.0000, 0.0000, 0.0000)

Crystal system ... tetragonal
VASP energy ... -3.23 eV/atom



Entry 3:
KMgU after structural relaxation, computed with PBE.

abc: 5.6614 5.6614 5.6614
angles: 60.00 60.00 60.00
Element x y z (fractional)
K (0.2500, 0.2500, 0.2500)
Mg (0.0000, 0.0000, 0.0000)
U (0.7500, 0.7500, 0.7500)

Crystal system ... cubic
VASP energy ... -3.16 eV/atom
Spin magnetization ... 4.5 μB per formula unit



Entry 4:
TbPm6Se8 after structural relaxation, computed with PBE.

abc: 8.3394 8.3394 8.3394
angles: 60.00 60.00 60.00
Element x y z (fractional)
Se (0.2485, 0.7515, 0.7515)
Se (0.2500, 0.2500, 0.2500)
Se (0.7515, 0.7515, 0.2485)
Se (0.2485, 0.2485, 0.7515)
Se (0.7515, 0.2485, 0.2485)
Se (0.7515, 0.2485, 0.7515)
Se (0.7500, 0.7500, 0.7500)
Se (0.2485, 0.7515, 0.2485)
Pm (0.0000, 0.5000, 0.0000)
Pm (0.5000, 0.0000, 0.5000)
Pm (0.0000, 0.5000, 0.5000)
Pm (0.5000, 0.5000, 0.0000)
Pm (0.0000, 0.0000, 0.5000)
Pm (0.5000, 0.0000, 0.0000)
Tb (0.0000, 0.0000, 0.0000)

Crystal system ... cubic
VASP energy ... -5.95 eV/atom
Spin magnetization ... 0.0 μB per formula unit



Entry 5:
NaSmCdSe3 after structural relaxation, computed with PBE.

abc: 9.1651 9.1651 9.0651
angles: 105.24 105.24 26.46
Element x y z (fractional)
Cd (0.5145, 0.5145, 0.2193)
Cd (0.4855, 0.4855, 0.7807)
Sm (0.1773, 0.1773, 0.1043)
Sm (0.8227, 0.8227, 0.8957)
Se (0.0000, 0.0000, 0.0000)
Se (0.3403, 0.3403, 0.1329)
Se (0.6741, 0.6741, 0.3224)
Se (0.6597, 0.6597, 0.8671)
Se (0.5000, 0.5000, 0.5000)
Se (0.3259, 0.3259, 0.6776)
Na (0.8716, 0.8716, 0.4264)
Na (0.1284, 0.1284, 0.5736)

Energy above the most stable polymorph in this dataset ... 47 meV per atom
Crystal system ... monoclinic
VASP energy ... -4.11 eV/atom
Spin magnetization ... 0.0 μB per formula unit



Entry 6:
Cd5B after structural relaxation, computed with PBE.

abc: 5.6799 5.6799 5.0543
angles: 90.00 90.00 120.00
Element x y z (fractional)
Cd (0.5000, 0.0000, 0.5000)
Cd (0.3333, 0.6667, 0.0000)
Cd (0.0000, 0.5000, 0.5000)
Cd (0.6667, 0.3333, 0.0000)
Cd (0.5000, 0.5000, 0.5000)
B (0.0000, 0.0000, 0.0000)

Crystal system ... hexagonal
VASP energy ... -1.06 eV/atom



Entry 7:
NdTmGa2Pt4 after structural relaxation, computed with PBE.

abc: 4.3903 4.3903 9.2757
angles: 90.00 90.00 120.00
Element x y z (fractional)
Pt (0.0000, 0.0000, 0.1795)
Pt (0.0000, 0.0000, 0.8205)
Pt (0.3333, 0.6667, 0.3407)
Pt (0.3333, 0.6667, 0.6593)
Tm (0.0000, 0.0000, 0.5000)
Ga (0.6667, 0.3333, 0.7438)
Ga (0.6667, 0.3333, 0.2562)
Nd (0.3333, 0.6667, 0.0000)

Crystal system ... hexagonal
VASP energy ... -5.97 eV/atom
Spin magnetization ... 0.0 μB per formula unit



Entry 8:
NaLiPaSe3 after structural relaxation, computed with PBE.

abc: 6.9888 6.9888 10.9081
angles: 90.00 90.00 145.16
Site moments in Bohr magnetons follow the coordinates.
Element x y z (fractional)
Se (0.3649, 0.6351, 0.4356)  -0.03
Se (0.9221, 0.0779, 0.7500)  -0.02
Se (0.3649, 0.6351, 0.0644)  -0.03
Se (0.6351, 0.3649, 0.9356)  -0.03
Se (0.6351, 0.3649, 0.5644)  -0.03
Se (0.0779, 0.9221, 0.2500)  -0.02
Pa (0.0000, 0.0000, 0.5000)  1.00
Pa (0.0000, 0.0000, 0.0000)  0.98
Na (0.7486, 0.2514, 0.2500)  0.00
Na (0.2514, 0.7486, 0.7500)  0.00
Li (0.4734, 0.5266, 0.2500)  0.00
Li (0.5266, 0.4734, 0.7500)  0.00

Crystal system ... orthorhombic
VASP energy ... -5.14 eV/atom
Spin magnetization ... 1.0 μB per formula unit



Entry 9:
Zr2Cu2Pb after structural relaxation, computed with PBE.

abc: 4.3557 4.3557 6.2198
angles: 110.50 110.50 90.00
Element x y z (fractional)
Pb (0.0000, 0.0000, 0.0000)
Zr (0.2500, 0.7500, 0.5000)
Zr (0.7500, 0.2500, 0.5000)
Cu (0.6041, 0.6041, 0.2082)
Cu (0.3959, 0.3959, 0.7918)

Crystal system ... tetragonal
VASP energy ... -5.54 eV/atom
Spin magnetization ... 0.0 μB per formula unit



Entry 10:
SbW4C3 after structural relaxation, computed with PBE.

abc: 3.1797 3.1797 23.6251
angles: 90.00 90.00 120.00
Element x y z (fractional)
Sb (0.6667, 0.3333, 0.7500)
Sb (0.3333, 0.6667, 0.2500)
W (0.3333, 0.6667, 0.4442)
W (0.6667, 0.3333, 0.5558)
W (0.3333, 0.6667, 0.0558)
W (0.0000, 0.0000, 0.6497)
W (0.0000, 0.0000, 0.8503)
W (0.0000, 0.0000, 0.3503)
W (0.6667, 0.3333, 0.9442)
W (0.0000, 0.0000, 0.1497)
C (0.6667, 0.3333, 0.1086)
C (0.6667, 0.3333, 0.3914)
C (0.0000, 0.0000, 0.0000)
C (0.3333, 0.6667, 0.8914)
C (0.3333, 0.6667, 0.6086)
C (0.0000, 0.0000, 0.5000)

Crystal system ... hexagonal
VASP energy ... -10.12 eV/atom
Spin magnetization ... 0.0 μB per formula unit



Entry 11:
MgScNiB after structural relaxation, computed with PBE.

abc: 4.2577 4.2577 4.2577
angles: 60.00 60.00 60.00
Element x y z (fractional)
Sc (0.5000, 0.5000, 0.5000)
Ni (0.7500, 0.7500, 0.7500)
Mg (0.0000, 0.0000, 0.0000)
B (0.2500, 0.2500, 0.2500)

Energy above the most stable polymorph in this dataset ... 0 meV per atom
Crystal system ... cubic
VASP energy ... -5.04 eV/atom
Spin magnetization ... 0.0 μB per formula unit



Entry 12:
TmFe4Ge2 after structural relaxation, computed with PBE.

abc: 7.1641 7.1641 3.8657
angles: 90.00 90.00 90.00
Site moments in Bohr magnetons follow the coordinates.
Element x y z (fractional)
Ge (0.7159, 0.2841, 0.0000)  -0.10
Ge (0.7841, 0.7841, 0.5000)  -0.10
Ge (0.2841, 0.7159, 0.0000)  -0.10
Ge (0.2159, 0.2159, 0.5000)  -0.10
Fe (0.3568, 0.9087, 0.5000)  1.63
Fe (0.8568, 0.5913, 0.0000)  1.58
Fe (0.9087, 0.3568, 0.5000)  1.63
Fe (0.1432, 0.4087, 0.0000)  1.58
Fe (0.4087, 0.1432, 0.0000)  1.59
Fe (0.6432, 0.0913, 0.5000)  1.63
Fe (0.5913, 0.8568, 0.0000)  1.59
Fe (0.0913, 0.6432, 0.5000)  1.63
Tm (0.5000, 0.5000, 0.5000)  -0.27
Tm (0.0000, 0.0000, 0.0000)  -0.27

Energy above the most stable polymorph in this dataset ... 27 meV per atom
Crystal system ... tetragonal
VASP energy ... -7.01 eV/atom
Spin magnetization ... 5.9 μB per formula unit



Entry 13:
DyY2Mg3Al2Cd after structural relaxation, computed with PBE.

abc: 4.5430 7.4164 7.4164
angles: 120.00 90.00 90.00
Element x y z (fractional)
Mg (0.5000, 0.0000, 0.2460)
Mg (0.5000, 0.2460, 0.0000)
Mg (0.5000, 0.7540, 0.7540)
Al (0.5000, 0.3334, 0.6666)
Al (0.5000, 0.6666, 0.3334)
Dy (0.0000, 0.4284, 0.4284)
Y (0.0000, 0.0000, 0.5716)
Y (0.0000, 0.5716, 0.0000)
Cd (0.0000, 0.0000, 0.0000)

Crystal system ... orthorhombic
VASP energy ... -3.73 eV/atom
Spin magnetization ... 0.0 μB per formula unit



Entry 14:
Gd3Mg3In2Hg after structural relaxation, computed with PBE.

abc: 7.5519 7.5519 4.6462
angles: 90.00 90.00 120.00
Element x y z (fractional)
Gd (0.4188, 0.4188, 0.0000)
Gd (0.0000, 0.5812, 0.0000)
Gd (0.5812, 0.0000, 0.0000)
In (0.6667, 0.3333, 0.5000)
In (0.3333, 0.6667, 0.5000)
Mg (0.7602, 0.7602, 0.5000)
Mg (0.2398, 0.0000, 0.5000)
Mg (0.0000, 0.2398, 0.5000)
Hg (0.0000, 0.0000, 0.0000)

Crystal system ... hexagonal
VASP energy ... -3.14 eV/atom
Spin magnetization ... 0.0 μB per formula unit



Entry 15:
Cu2SnSe3 after structural relaxation, computed with PBE.

abc: 7.0303 7.0303 13.5167
angles: 94.77 94.77 119.98
Element x y z (fractional)
Se (0.9670, 0.1175, 0.9396)
Se (0.3932, 0.2008, 0.1896)
Se (0.3264, 0.8328, 0.9388)
Se (0.5596, 0.0408, 0.7003)
Se (0.8328, 0.3264, 0.4388)
Se (0.6173, 0.4768, 0.9513)
Se (0.9106, 0.7494, 0.6892)
Se (0.1175, 0.9670, 0.4396)
Se (0.2008, 0.3932, 0.6896)
Se (0.7494, 0.9106, 0.1892)
Se (0.4768, 0.6173, 0.4513)
Se (0.0408, 0.5596, 0.2003)
Sn (0.4952, 0.0042, 0.4996)
Sn (0.5762, 0.4264, 0.7508)
Sn (0.0042, 0.4952, 0.9996)
Sn (0.4264, 0.5762, 0.2508)
Cu (0.0840, 0.9204, 0.2588)
Cu (0.7396, 0.2342, 0.2572)
Cu (0.1542, 0.3138, 0.5090)
Cu (0.3138, 0.1542, 0.0090)
Cu (0.2342, 0.7396, 0.7572)
Cu (0.9204, 0.0840, 0.7588)
Cu (0.8368, 0.6564, 0.5085)
Cu (0.6564, 0.8368, 0.0085)

Crystal system ... monoclinic
VASP energy ... -3.94 eV/atom



Entry 16:
DyLu2Bi3 after structural relaxation, computed with PBE.

abc: 4.4287 4.4287 10.8558
angles: 90.00 90.00 120.00
Element x y z (fractional)
Bi (0.0000, 0.0000, 0.0000)
Bi (0.6667, 0.3333, 0.6701)
Bi (0.3333, 0.6667, 0.3299)
Lu (0.6667, 0.3333, 0.1660)
Lu (0.3333, 0.6667, 0.8340)
Dy (0.0000, 0.0000, 0.5000)

Crystal system ... trigonal
VASP energy ... -5.09 eV/atom
Spin magnetization ... 0.0 μB per formula unit



Entry 17:
BeTlCdFe after structural relaxation, computed with PBE.

abc: 4.5445 4.5445 4.5445
angles: 60.00 60.00 60.00
Element x y z (fractional)
Cd (0.5000, 0.5000, 0.5000)
Be (0.2500, 0.2500, 0.2500)
Fe (0.7500, 0.7500, 0.7500)
Tl (0.0000, 0.0000, 0.0000)

Energy above the most stable polymorph in this dataset ... 0 meV per atom
Crystal system ... cubic
VASP energy ... -3.17 eV/atom
Spin magnetization ... 2.2 μB per formula unit



Entry 18:
GdErPbC after structural relaxation, computed with PBE.

abc: 3.6414 3.6414 16.1826
angles: 90.00 90.00 120.00
Element x y z (fractional)
Gd (0.6667, 0.3333, 0.3318)
Gd (0.6667, 0.3333, 0.6682)
Pb (0.3333, 0.6667, 0.5000)
Pb (0.6667, 0.3333, 0.0000)
C (0.0000, 0.0000, 0.2468)
C (0.0000, 0.0000, 0.7532)
Er (0.3333, 0.6667, 0.8336)
Er (0.3333, 0.6667, 0.1664)

Crystal system ... hexagonal
VASP energy ... -6.02 eV/atom
Spin magnetization ... 0.0 μB per formula unit



Entry 19:
BeGeW after structural relaxation, computed with PBE.

abc: 4.1103 4.1103 4.1103
angles: 60.00 60.00 60.00
Element x y z (fractional)
Ge (0.7500, 0.7500, 0.7500)
Be (0.2500, 0.2500, 0.2500)
W (0.0000, 0.0000, 0.0000)

Energy above the most stable polymorph in this dataset ... 180 meV per atom
Crystal system ... cubic
VASP energy ... -6.22 eV/atom
Spin magnetization ... 0.5 μB per formula unit



Entry 20:
SiHg4S6 after structural relaxation, computed with PBE.

abc: 7.2683 7.2683 12.5290
angles: 90.54 106.24 120.11
Element x y z (fractional)
Si (0.4322, 0.1367, 0.1038)
Si (0.4671, 0.6716, 0.6038)
S (0.5487, 0.4221, 0.0271)
S (0.5783, 0.2460, 0.2834)
S (0.5859, 0.9805, 0.5558)
S (0.1050, 0.4784, 0.5271)
S (0.0753, 0.9699, 0.0558)
S (0.2116, 0.5475, 0.2333)
S (0.9375, 0.9076, 0.3541)
S (0.5857, 0.4817, 0.5530)
S (0.9465, 0.4166, 0.8541)
S (0.1858, 0.0217, 0.7333)
S (0.5374, 0.7051, 0.7834)
S (0.5713, 0.9673, 0.0530)
Hg (0.5647, 0.9035, 0.3484)
Hg (0.2743, 0.2742, 0.3549)
Hg (0.0250, 0.2753, 0.6938)
Hg (0.2707, 0.5391, 0.0418)
Hg (0.5807, 0.0806, 0.8549)
Hg (0.0027, 0.7711, 0.5418)
Hg (0.9448, 0.7837, 0.8484)
Hg (0.9185, 0.6687, 0.1938)

Crystal system ... monoclinic
VASP energy ... -3.12 eV/atom